Here is a relaxed MgAl2SeO crystal from Alexandria. Energies are from PBE.

Values from the calculation:
The total magnetization is 0.000 μB per formula unit. Its raw formation energy is 185 meV per atom. For the total DFT energy (no corrections), the calculation gives -3.32 eV per atom.

Unit cell a=5.178 b=5.178 c=3.833 alpha=90.00 beta=90.00 gamma=90.00
Space group P4/mmm (No. 123)
Inequivalent atoms, fractional coordinates:
Mg 0.000 0.000 0.000 x1
Al 0.000 0.500 0.500 x2
Se 0.500 0.500 0.500 x1
O 0.500 0.500 0.000 x1

---

Here is a relaxed MgAl2SeO6 crystal from Alexandria. Energies are from PBE.

Values from the calculation:
The total magnetization is 0.000 μB per formula unit. Its raw formation energy is -2201 meV per atom. For the total DFT energy (no corrections), the calculation gives -6.43 eV per atom.

Unit cell a=9.909 b=8.743 c=5.495 alpha=90.00 beta=104.87 gamma=90.00
Space group C2/c (No. 15)
Inequivalent atoms, fractional coordinates:
Mg 0.000 0.098 0.250 x4
Al 0.199 0.408 0.242 x8
Se 0.000 0.258 0.750 x4
O 0.105 0.108 0.654 x8
O 0.117 0.237 0.097 x8
O 0.161 0.442 0.528 x8

---

Here is a relaxed Mg2Al2SiO9 crystal from Alexandria. Energies are from PBE.

Values from the calculation:
The total magnetization is 4.026 μB per formula unit. Its raw formation energy is -2125 meV per atom. The energy above the most stable polymorph in this dataset comes out at 9 meV/atom. For the total DFT energy (no corrections), the calculation gives -6.46 eV per atom.

Unit cell a=5.430 b=5.463 c=13.702 alpha=82.95 beta=86.85 gamma=61.11
Space group P1 (No. 1)
Inequivalent atoms, fractional coordinates:
Mg 0.000 0.000 0.000 x1
Mg 0.026 0.049 0.475 x1
Mg 0.357 0.393 0.486 x1
Mg 0.705 0.657 0.885 x1
Al 0.353 0.665 0.693 x1
Al 0.364 0.262 0.001 x1
Al 0.635 0.280 0.209 x1
Al 0.666 0.740 0.491 x1
Si 0.293 0.952 0.210 x1
Si 0.689 0.995 0.694 x1
O 0.009 0.848 0.734 x1
O 0.030 0.599 0.039 x1
O 0.062 0.316 0.924 x1
O 0.283 0.021 0.089 x1
O 0.363 0.719 0.562 x1
O 0.376 0.596 0.947 x1
O 0.382 0.060 0.423 x1
O 0.448 0.618 0.241 x1
O 0.465 0.087 0.257 x1
O 0.502 0.305 0.728 x1
O 0.563 0.786 0.746 x1
O 0.640 0.254 0.080 x1
O 0.662 0.005 0.930 x1
O 0.675 0.014 0.572 x1
O 0.704 0.434 0.430 x1
O 0.976 0.412 0.553 x1
O 0.977 0.096 0.255 x1
O 0.989 0.720 0.429 x1

---

Here is a relaxed MgAl2SiO7 crystal from Alexandria. Energies are from PBE.

Values from the calculation:
The total magnetization is 2.066 μB per formula unit. Its raw formation energy is -2387 meV per atom. For the total DFT energy (no corrections), the calculation gives -6.86 eV per atom.

Unit cell a=5.533 b=5.577 c=8.961 alpha=82.57 beta=76.52 gamma=60.34
Space group P-1 (No. 2)
Inequivalent atoms, fractional coordinates:
Mg 0.162 0.174 0.000 x2
Al 0.000 0.000 0.500 x1
Al 0.500 0.000 0.500 x1
Al 0.500 0.500 0.000 x1
Al 0.500 0.500 0.500 x1
Si 0.068 0.502 0.312 x2
O 0.134 0.500 0.122 x2
O 0.206 0.179 0.376 x2
O 0.210 0.665 0.371 x2
O 0.240 0.811 0.903 x2
O 0.279 0.334 0.626 x2
O 0.299 0.829 0.597 x2
O 0.450 0.808 0.091 x2

---

Here is a relaxed Mg2Al2SiO9 crystal from Alexandria. Energies are from PBE.

Values from the calculation:
The total magnetization is 4.014 μB per formula unit. Its raw formation energy is -2130 meV per atom. The energy above the most stable polymorph in this dataset comes out at 4 meV/atom. For the total DFT energy (no corrections), the calculation gives -6.47 eV per atom.

Unit cell a=5.390 b=5.469 c=13.308 alpha=100.26 beta=91.53 gamma=119.45
Space group P1 (No. 1)
Inequivalent atoms, fractional coordinates:
Mg 0.000 0.000 0.000 x1
Mg 0.034 0.278 0.406 x1
Mg 0.342 0.686 0.006 x1
Mg 0.790 0.727 0.543 x1
Al 0.412 0.132 0.227 x1
Al 0.434 0.004 0.541 x1
Al 0.592 0.915 0.790 x1
Al 0.667 0.308 0.013 x1
Si 0.067 0.460 0.225 x1
Si 0.243 0.227 0.746 x1
O 0.005 0.358 0.098 x1
O 0.109 0.668 0.474 x1
O 0.186 0.084 0.621 x1
O 0.209 0.803 0.261 x1
O 0.263 0.347 0.277 x1
O 0.303 0.553 0.768 x1
O 0.352 0.317 0.945 x1
O 0.391 0.074 0.091 x1
O 0.410 0.289 0.482 x1
O 0.525 0.210 0.788 x1
O 0.547 0.854 0.640 x1
O 0.638 0.982 0.932 x1
O 0.696 0.665 0.075 x1
O 0.713 0.980 0.465 x1
O 0.776 0.293 0.279 x1
O 0.779 0.374 0.590 x1
O 0.943 0.598 0.952 x1
O 0.956 0.997 0.786 x1

---

Here is a relaxed Mg2Al2SiO9 crystal from Alexandria. Energies are from PBE.

Values from the calculation:
The total magnetization is 4.022 μB per formula unit. Its raw formation energy is -2134 meV per atom. The energy above the most stable polymorph in this dataset comes out at 0 meV/atom. For the total DFT energy (no corrections), the calculation gives -6.47 eV per atom.

Unit cell a=5.363 b=14.157 c=5.436 alpha=90.00 beta=118.95 gamma=90.00
Space group P2_1 (No. 4)
Inequivalent atoms, fractional coordinates:
Mg 0.006 0.000 0.032 x2
Mg 0.321 0.109 0.675 x2
Al 0.317 0.298 0.989 x2
Al 0.355 0.495 0.693 x2
Si 0.349 0.796 0.336 x2
O 0.025 0.453 0.355 x2
O 0.030 0.757 0.136 x2
O 0.040 0.570 0.650 x2
O 0.292 0.421 0.937 x2
O 0.349 0.066 0.034 x2
O 0.350 0.550 0.369 x2
O 0.361 0.911 0.293 x2
O 0.438 0.244 0.767 x2
O 0.463 0.769 0.661 x2

---

Here is a relaxed Mg3Al7Si4O22 crystal from Alexandria. Energies are from PBE.

Values from the calculation:
The total magnetization is 1.000 μB per formula unit. Its raw formation energy is -2820 meV per atom. For the total DFT energy (no corrections), the calculation gives -7.31 eV per atom.

Unit cell a=6.791 b=16.258 c=13.871 alpha=90.00 beta=90.00 gamma=90.00
Space group Amm2 (No. 38)
Inequivalent atoms, fractional coordinates:
Mg 0.000 0.000 0.000 x2
Mg 0.000 0.118 0.483 x4
Mg 0.500 0.000 0.704 x2
Mg 0.500 0.120 0.212 x4
Al 0.000 0.187 0.989 x4
Al 0.250 0.097 0.852 x8
Al 0.252 0.212 0.353 x8
Al 0.500 0.185 0.017 x4
Al 0.500 0.187 0.709 x4
Si 0.000 0.000 0.695 x2
Si 0.000 0.099 0.203 x4
Si 0.000 0.180 0.680 x4
Si 0.500 0.000 0.009 x2
Si 0.500 0.097 0.500 x4
O 0.000 0.000 0.224 x2
O 0.000 0.000 0.444 x2
O 0.000 0.084 0.630 x4
O 0.000 0.096 0.896 x4
O 0.000 0.104 0.083 x4
O 0.000 0.225 0.395 x4
O 0.000 0.232 0.584 x4
O 0.198 0.141 0.250 x8
O 0.200 0.000 0.761 x4
O 0.200 0.181 0.749 x8
O 0.283 0.185 0.943 x8
O 0.302 0.000 0.938 x4
O 0.302 0.140 0.454 x8
O 0.500 0.000 0.255 x2
O 0.500 0.000 0.474 x2
O 0.500 0.084 0.070 x4
O 0.500 0.099 0.804 x4
O 0.500 0.100 0.619 x4
O 0.500 0.229 0.308 x4
O 0.500 0.235 0.124 x4

---

Here is a relaxed Sm12MgAl4O3 crystal from Alexandria. Energies are from PBE.

Values from the calculation:
The total magnetization is 0.000 μB per formula unit. Its raw formation energy is -775 meV per atom. For the total DFT energy (no corrections), the calculation gives -5.18 eV per atom.

Unit cell a=10.065 b=10.065 c=10.065 alpha=90.00 beta=90.00 gamma=90.00
Space group Im-3m (No. 229)
Inequivalent atoms, fractional coordinates:
Sm 0.000 0.000 0.271 x12
Sm 0.000 0.250 0.500 x12
Mg 0.000 0.000 0.000 x2
Al 0.250 0.250 0.250 x8
O 0.000 0.000 0.500 x6